# Ba2Li3Y3Mo8O32

A relaxed Ba2Li3Y3Mo8O32 crystal (PBE+U, Alexandria via LeMat-Bulk).

Cell lengths 5.2980, 6.9620, 19.4976 Å; angles 88.35, 88.11, 68.41 degrees
Fractional positions:
O 0.2565 0.9631 0.4666
Y 0.1396 0.7078 0.9687
O 0.8867 0.7131 0.6370
O 0.7877 0.9560 0.0394
O 0.5565 0.4078 0.2859
Mo 0.5501 0.8721 0.0930
Y 0.8620 0.2890 0.0316
O 0.6162 0.3045 0.1308
Li 0.9165 0.2206 0.4496
O 0.5271 0.1707 0.6720
O 0.9807 0.3038 0.6833
Mo 0.2851 0.4705 0.3508
O 0.0706 0.5160 0.0659
Mo 0.5611 0.8977 0.4107
Mo 0.4177 0.1219 0.5897
O 0.4722 0.8363 0.3279
O 0.2784 0.9198 0.6065
O 0.4921 0.3324 0.9581
O 0.7655 0.9064 0.8994
O 0.2379 0.0905 0.1000
Y 0.1404 0.7080 0.5300
O 0.7037 0.8153 0.1736
O 0.1767 0.3489 0.5492
O 0.2134 0.0403 0.9604
O 0.3891 0.6942 0.8699
Ba 0.0112 0.9463 0.7368
Mo 0.4516 0.1234 0.9071
O 0.8226 0.6881 0.4523
Ba 0.9821 0.0564 0.2649
O 0.0941 0.3887 0.2099
Li 0.7283 0.6234 0.2653
O 0.7361 0.2741 0.8298
O 0.2656 0.7253 0.1697
O 0.0205 0.6892 0.3147
O 0.9313 0.4804 0.9334
Li 0.2736 0.3753 0.7378
O 0.9178 0.6059 0.7895
O 0.6921 0.0998 0.3937
O 0.7200 0.0249 0.5362
O 0.4557 0.6005 0.7204
O 0.3839 0.5401 0.4313
O 0.5097 0.6628 0.0416
O 0.2998 0.1805 0.8260
Mo 0.7154 0.5315 0.6528
Mo 0.7362 0.5184 0.8528
O 0.5682 0.4992 0.5750
O 0.1331 0.2783 0.3625
Mo 0.2675 0.4805 0.1464

- electronic total energy (eV/atom) = -7.254
- magnetization (μB/f.u.) = 0.0